1.
Density functional theory data (GGA-PBE) for a relaxed structure of ZrH.

Summary:
Final energy, eV/cell: -72.97
Space group: P6_3/m (176)
V, Å³/f.u.: 29.5
Crystal system: hexagonal
Total magnetization, μB per formula unit: 0.000

The structure in POSCAR format:
```
ZrH
1.0
7.870 0.000 0.000
-3.935 6.815 0.000
0.000 0.000 3.300
Zr H
6 6
Direct
0.139 0.722 0.250
0.278 0.417 0.250
0.417 0.139 0.750
0.583 0.861 0.250
0.722 0.583 0.750
0.861 0.278 0.750
0.023 0.417 0.250
0.394 0.977 0.250
0.417 0.394 0.750
0.583 0.606 0.250
0.606 0.023 0.750
0.977 0.583 0.750
```

---

2.
Density functional theory data (GGA-PBE) for a relaxed structure of Li4DyY3S8.

Summary:
E_form (uncorrected), eV/f.u.: -29.6
Space group: R-3m (166)
V, Å³/f.u.: 328.2
Crystal system: trigonal
Total magnetization, μB per formula unit: 0.000

The structure in POSCAR format:
```
Li4DyY3S8
1.0
3.915 2.261 6.181
-3.915 2.261 6.181
0.000 -4.521 6.181
Li Dy Y S
4 1 3 8
Direct
0.000 0.000 0.000
0.000 0.500 0.500
0.500 0.000 0.500
0.500 0.500 0.000
0.500 0.500 0.500
0.000 0.000 0.500
0.000 0.500 0.000
0.500 0.000 0.000
0.250 0.250 0.250
0.250 0.250 0.749
0.250 0.749 0.250
0.251 0.750 0.750
0.749 0.250 0.250
0.750 0.251 0.750
0.750 0.750 0.251
0.750 0.750 0.750
```